Gd2YMg3NiPd2 | OQMD | PBE | optimized geometry; total energy = -4.5967 eV per atom; space-group type = No. 38
1.0
-3.495 0.097 1.975
1.500 -6.732 2.986
2.175 6.263 3.539
Gd Mg Ni Pd Y
2 3 1 2 1
direct
0.000 0.586 0.000
0.000 0.000 0.586
0.500 0.243 0.001
0.500 0.001 0.243
0.500 0.756 0.756
0.000 0.000 0.000
0.500 0.667 0.333
0.500 0.333 0.667
0.000 0.413 0.413